# 1
Entry from Alexandria: a relaxed LiSb3Pd6 crystal (GGA-PBE).

Results
Calculated volume ... 359 Å³ per cell
Raw formation energy ... -0.4034 eV per atom
SG ... P2_1/m (11)
N(E_F) ... 7.699 states/eV per cell

Cell: 4.024 11.048 11.885 Å, 137.20 90.00 90.00°
Positions (direct):
Li1 0.750 0.022 0.610
Li2 0.250 0.978 0.390
Sb1 0.750 0.478 0.860
Sb2 0.250 0.522 0.140
Sb3 0.750 0.739 0.570
Sb4 0.250 0.261 0.430
Sb5 0.750 0.266 0.147
Sb6 0.250 0.734 0.853
Pd1 0.750 0.527 0.615
Pd2 0.250 0.473 0.385
Pd3 0.750 0.963 0.188
Pd4 0.250 0.037 0.812
Pd5 0.750 0.296 0.944
Pd6 0.250 0.704 0.056
Pd7 0.750 0.763 0.263
Pd8 0.250 0.237 0.737
Pd9 0.750 0.205 0.537
Pd10 0.250 0.795 0.463
Pd11 0.750 0.910 0.879
Pd12 0.250 0.090 0.121



# 2
Entry from Alexandria: a relaxed LiSb3Pd5 crystal (GGA-PBE).

Results
Polymorph energy (0 for the lowest one) ... 93 meV per atom
Calculated volume ... 344 Å³ per cell
Raw formation energy ... -0.3379 eV per atom
SG ... I4/mcm (140)
N(E_F) ... 5.234 states/eV per cell

Cell: 6.732 6.732 8.967 Å, 112.05 112.05 90.00°
Positions (direct):
Li1 0.750 0.250 0.500
Li2 0.250 0.750 0.500
Sb1 0.644 0.144 0.000
Sb2 0.356 0.856 0.000
Sb3 0.856 0.644 0.000
Sb4 0.144 0.356 0.000
Sb5 0.250 0.250 0.500
Sb6 0.750 0.750 0.500
Pd1 0.089 0.589 0.684
Pd2 0.596 0.096 0.684
Pd3 0.096 0.089 0.684
Pd4 0.589 0.596 0.684
Pd5 0.911 0.411 0.316
Pd6 0.404 0.904 0.316
Pd7 0.904 0.911 0.316
Pd8 0.411 0.404 0.316
Pd9 0.500 0.500 0.000
Pd10 0.000 0.000 0.000



# 3
Entry from Alexandria: a relaxed LiSbPd3 crystal (GGA-PBE).

Results
Polymorph energy (0 for the lowest one) ... 29 meV per atom
Calculated volume ... 321 Å³ per cell
Raw formation energy ... -0.5093 eV per atom
SG ... P2_1/c (14)
N(E_F) ... 6.430 states/eV per cell

Cell: 4.994 7.616 9.145 Å, 112.60 90.00 90.00°
Positions (direct):
Li1 0.840 0.655 0.122
Li2 0.160 0.345 0.878
Li3 0.340 0.345 0.378
Li4 0.660 0.655 0.622
Sb1 0.162 0.757 0.485
Sb2 0.838 0.243 0.515
Sb3 0.662 0.243 0.015
Sb4 0.338 0.757 0.985
Pd1 0.150 0.941 0.286
Pd2 0.850 0.059 0.714
Pd3 0.650 0.059 0.214
Pd4 0.350 0.941 0.786
Pd5 0.657 0.835 0.411
Pd6 0.343 0.165 0.589
Pd7 0.157 0.165 0.089
Pd8 0.843 0.835 0.911
Pd9 0.148 0.549 0.674
Pd10 0.852 0.451 0.326
Pd11 0.648 0.451 0.826
Pd12 0.352 0.549 0.174



# 4
Entry from Alexandria: a relaxed Li3SbPd6 crystal (GGA-PBE).

Results
Polymorph energy (0 for the lowest one) ... 78 meV per atom
Calculated volume ... 324 Å³ per cell
Raw formation energy ... -0.3355 eV per atom
SG ... R-3m (166)
N(E_F) ... 12.597 states/eV per cell

Cell: 6.983 6.983 6.983 Å, 99.75 99.75 99.75°
Positions (direct):
Li1 0.572 0.854 0.854
Li2 0.854 0.854 0.572
Li3 0.146 0.428 0.146
Li4 0.854 0.572 0.854
Li5 0.146 0.146 0.428
Li6 0.428 0.146 0.146
Sb1 0.000 0.000 0.000
Sb2 0.500 0.500 0.500
Pd1 0.263 0.737 0.000
Pd2 0.263 0.000 0.737
Pd3 0.403 0.826 0.403
Pd4 0.000 0.737 0.263
Pd5 0.403 0.403 0.826
Pd6 0.174 0.597 0.597
Pd7 0.826 0.403 0.403
Pd8 0.597 0.597 0.174
Pd9 0.000 0.263 0.737
Pd10 0.597 0.174 0.597
Pd11 0.737 0.000 0.263
Pd12 0.737 0.263 0.000



# 5
Entry from Alexandria: a relaxed Li2SbPd crystal (GGA-PBE).

Results
Calculated volume ... 149 Å³ per cell
Raw formation energy ... -0.3050 eV per atom
SG ... I-42d (122)
N(E_F) ... 4.397 states/eV per cell

Cell: 7.515 7.515 5.931 Å, 50.69 50.69 90.00°
Positions (direct):
Sb1 0.000 0.000 0.000
Sb2 0.750 0.250 0.500
Pd1 0.500 0.500 0.000
Pd2 0.250 0.750 0.500
Li1 0.594 0.125 0.250
Li2 0.156 0.625 0.250
Li3 0.375 0.406 0.750
Li4 0.875 0.844 0.750



# 6
Entry from Alexandria: a relaxed Li3Sb2Pd crystal (GGA-PBE).

Results
Calculated volume ... 233 Å³ per cell
Raw formation energy ... -0.5009 eV per atom
SG ... Ibam (72)
N(E_F) ... 5.753 states/eV per cell

Cell: 5.817 5.953 7.904 Å, 112.12 111.59 90.00°
Positions (direct):
Li1 0.410 0.655 0.309
Li2 0.590 0.345 0.691
Li3 0.101 0.845 0.691
Li4 0.899 0.155 0.309
Li5 0.500 0.750 0.000
Li6 0.500 0.250 0.000
Sb1 0.371 0.135 0.270
Sb2 0.629 0.865 0.730
Sb3 0.101 0.365 0.730
Sb4 0.899 0.635 0.270
Pd1 0.000 0.250 0.000
Pd2 0.000 0.750 0.000



# 7
Entry from Alexandria: a relaxed Li5SbPd8 crystal (GGA-PBE).

Results
Calculated volume ... 212 Å³ per cell
Raw formation energy ... -0.3279 eV per atom
SG ... I-4 (82)
N(E_F) ... 6.594 states/eV per cell

Cell: 6.502 6.502 6.502 Å, 110.09 108.25 110.09°
Positions (direct):
Li1 0.045 0.353 0.141
Li2 0.859 0.903 0.211
Li3 0.789 0.647 0.692
Li4 0.500 0.000 0.500
Li5 0.308 0.097 0.955
Sb1 0.250 0.500 0.750
Pd1 0.159 0.749 0.075
Pd2 0.925 0.084 0.674
Pd3 0.736 0.257 0.335
Pd4 0.665 0.401 0.922
Pd5 0.521 0.599 0.264
Pd6 0.590 0.916 0.841
Pd7 0.326 0.251 0.410
Pd8 0.078 0.743 0.479



# 8
Entry from Alexandria: a relaxed LiSbPd4 crystal (GGA-PBE).

Results
Polymorph energy (0 for the lowest one) ... 119 meV per atom
Calculated volume ... 209 Å³ per cell
Raw formation energy ... -0.3552 eV per atom
SG ... Cmcm (63)
N(E_F) ... 9.307 states/eV per cell

Cell: 4.522 4.366 10.800 Å, 78.34 90.00 90.00°
Positions (direct):
Li1 0.261 0.901 0.199
Li2 0.761 0.099 0.801
Sb1 0.261 0.598 0.804
Sb2 0.761 0.402 0.196
Pd1 0.761 0.830 0.340
Pd2 0.261 0.170 0.660
Pd3 0.261 0.465 0.070
Pd4 0.761 0.535 0.930
Pd5 0.261 0.750 0.500
Pd6 0.761 0.250 0.500
Pd7 0.761 0.671 0.658
Pd8 0.261 0.329 0.342



# 9
Entry from Alexandria: a relaxed Li7SbPd3 crystal (GGA-PBE).

Results
Calculated volume ... 183 Å³ per cell
Raw formation energy ... -0.2950 eV per atom
SG ... C2/m (12)
N(E_F) ... 2.465 states/eV per cell

Cell: 4.805 6.642 6.642 Å, 89.20 110.95 110.95°
Positions (direct):
Li1 0.163 0.166 0.166
Li2 0.329 0.052 0.605
Li3 0.671 0.395 0.948
Li4 0.329 0.605 0.052
Li5 0.000 0.500 0.500
Li6 0.671 0.948 0.395
Li7 0.837 0.834 0.834
Sb1 0.500 0.500 0.500
Pd1 0.000 0.770 0.230
Pd2 0.500 0.000 0.000
Pd3 0.000 0.230 0.770



# 10
Entry from Alexandria: a relaxed Li2Sb3Pd7 crystal (GGA-PBE).

Results
Calculated volume ... 215 Å³ per cell
Raw formation energy ... -0.3689 eV per atom
SG ... Cmmm (65)
N(E_F) ... 6.215 states/eV per cell

Cell: 4.276 4.244 12.061 Å, 100.13 90.00 90.00°
Positions (direct):
Li1 0.000 0.848 0.696
Li2 0.000 0.152 0.304
Sb1 0.500 0.500 0.000
Sb2 0.500 0.655 0.310
Sb3 0.500 0.345 0.690
Pd1 0.000 0.419 0.839
Pd2 0.000 0.716 0.433
Pd3 0.000 0.000 0.000
Pd4 0.000 0.581 0.161
Pd5 0.500 0.083 0.165
Pd6 0.500 0.917 0.835
Pd7 0.000 0.284 0.567



# 11
Entry from Alexandria: a relaxed LiSb2Pd5 crystal (GGA-PBE).

Results
Calculated volume ... 152 Å³ per cell
Raw formation energy ... -0.3649 eV per atom
SG ... Immm (71)
N(E_F) ... 4.254 states/eV per cell

Cell: 3.916 6.624 6.624 Å, 72.21 72.81 72.81°
Positions (direct):
Li1 0.000 0.000 0.000
Sb1 0.735 0.765 0.765
Sb2 0.265 0.235 0.235
Pd1 0.000 0.500 0.500
Pd2 0.644 0.544 0.167
Pd3 0.356 0.456 0.833
Pd4 0.356 0.833 0.456
Pd5 0.644 0.167 0.544



# 12
Entry from Alexandria: a relaxed Li3Sb2Pd2 crystal (GGA-PBE).

Results
Polymorph energy (0 for the lowest one) ... 0 meV per atom
Calculated volume ... 122 Å³ per cell
Raw formation energy ... -0.6308 eV per atom
SG ... C2/m (12)
N(E_F) ... 2.321 states/eV per cell

Cell: 4.574 4.574 7.219 Å, 89.83 108.64 120.03°
Positions (direct):
Li1 0.000 0.000 0.000
Li2 0.721 0.861 0.582
Li3 0.279 0.139 0.418
Sb1 0.172 0.585 0.758
Sb2 0.828 0.415 0.242
Pd1 0.454 0.728 0.182
Pd2 0.546 0.272 0.818



| no. | raw total energy (eV/cell) |
| --- | --- |
| 1 | -98.94 |
| 2 | -86.57 |
| 3 | -96.65 |
| 4 | -88.75 |
| 5 | -28.73 |
| 6 | -44.37 |
| 7 | -59.82 |
| 8 | -57.88 |
| 9 | -36.34 |
| 10 | -56.97 |
| 11 | -39.04 |
| 12 | -28.79 |